(1)
Nd8Tl2Cd3 | PBE-GGA | relaxed

Cell: 5.2776 8.3515 10.1056 Å, 114.41 85.77 90.00°
Last column: nearest neighbours and their distance in Å.
Element x y z (fractional)
Cd: 0.0000 0.8296 0.0000  3 Cd 2.85-3.00, 2 Nd 3.16
Cd: 0.0000 0.1704 0.0000  3 Cd 2.85-3.00, 2 Nd 3.16
Cd: 0.5000 0.0000 0.0000  4 Cd 3.00
Nd: 0.2175 0.8301 0.6601  2 Tl 3.26-3.28, 4 Nd 3.50-3.62, 3 Cd 3.54-3.57
Nd: 0.2435 0.4475 0.8949  2 Nd 3.09-3.45, 2 Cd 3.16, 1 Tl 3.17
Nd: 0.7565 0.5525 0.1051  2 Nd 3.09-3.45, 2 Cd 3.16, 1 Tl 3.17
Nd: 0.7268 0.5702 0.7050  1 Cd 3.31, 3 Tl 3.33-3.51, 4 Nd 3.48-3.64
Nd: 0.2732 0.8651 0.2950  1 Cd 3.31, 3 Tl 3.33-3.51, 4 Nd 3.48-3.64
Nd: 0.7268 0.1349 0.7050  1 Cd 3.31, 3 Tl 3.33-3.51, 4 Nd 3.48-3.64
Nd: 0.2732 0.4298 0.2950  1 Cd 3.31, 3 Tl 3.33-3.51, 4 Nd 3.48-3.64
Nd: 0.7825 0.1699 0.3399  2 Tl 3.26-3.28, 4 Nd 3.50-3.62, 3 Cd 3.54-3.57
Tl: 0.7493 0.7247 0.4493  9 Nd 3.17-3.51
Tl: 0.2507 0.2753 0.5507  9 Nd 3.17-3.51

Results
E_form	-0.1475	eV per atom
density of states at the Fermi level	1.07	states/eV/atom
crystal system	monoclinic



(2)
Ho2RhAu2 | PBE-GGA | relaxed

Cell: 5.9907 6.2074 7.6377 Å, 113.98 113.09 90.00°
Last column: nearest neighbours and their distance in Å.
Element x y z (fractional)
Au: 0.1246 0.3477 0.2492  2 Rh 2.77, 4 Ho 2.92-3.01
Au: 0.6246 0.9014 0.2492  2 Rh 2.77, 4 Ho 2.92-3.01
Au: 0.8754 0.6523 0.7508  2 Rh 2.77, 4 Ho 2.92-3.01
Au: 0.3754 0.0986 0.7508  2 Rh 2.77, 4 Ho 2.92-3.01
Rh: 0.7500 0.5000 0.0000  4 Au 2.77, 4 Ho 2.84, 2 Rh 3.00
Rh: 0.2500 0.5000 0.0000  4 Au 2.77, 4 Ho 2.84, 2 Rh 3.00
Ho: 0.6446 0.3907 0.2892  2 Rh 2.84, 4 Au 2.92-3.01
Ho: 0.1446 0.8984 0.2892  2 Rh 2.84, 4 Au 2.92-3.01
Ho: 0.8554 0.1016 0.7108  2 Rh 2.84, 4 Au 2.92-3.01
Ho: 0.3554 0.6093 0.7108  2 Rh 2.84, 4 Au 2.92-3.01

Results
E_form	-0.7486	eV per atom
density of states at the Fermi level	0.37	states/eV/atom
crystal system	orthorhombic



(3)
NdDyTlAu | PBE-GGA | relaxed

Cell: 3.6738 3.6738 7.8703 Å, 90.00 90.00 90.00°
Last column: nearest neighbours and their distance in Å.
Element x y z (fractional)
Au: 0.5000 0.5000 0.5834  4 Dy 3.04, 4 Nd 3.30
Nd: 0.0000 0.0000 0.8428  4 Au 3.30, 4 Tl 3.39, 1 Dy 3.62, 4 Nd 3.67
Tl: 0.5000 0.5000 0.1188  4 Dy 3.33, 4 Nd 3.39, 1 Au 3.66, 4 Tl 3.67
Dy: 0.0000 0.0000 0.3829  4 Au 3.04, 4 Tl 3.33

Results
E_form	-0.5989	eV per atom
density of states at the Fermi level	0.62	states/eV/atom
crystal system	tetragonal